Below is an optimized crystal structure of YSc2TlF, with properties calculated at the PBE level.

Output
SG   No. 123
Raw formation energy   -0.9548 eV/atom

Geometry as POSCAR:
```
YSc2TlF
1.0
4.607 0.000 0.000
0.000 4.607 0.000
0.000 0.000 4.867
Y Sc Tl F
1 2 1 1
direct
0.000 0.000 0.000 Y
0.000 0.500 0.500 Sc
0.500 0.000 0.500 Sc
0.500 0.500 0.000 Tl
0.000 0.000 0.500 F
```